The following is a PBE-GGA calculation of a geometry-optimized CaAlAs3 structure, from the Alexandria database.

a b c (Å): 4.925 4.925 4.925
angles (deg): 90.00 90.00 90.00
Fractional positions:
Ca1 0.000 0.000 0.000
Al1 0.500 0.500 0.500
As1 0.000 0.500 0.500
As2 0.500 0.000 0.500
As3 0.500 0.500 0.000

Values from the calculation:
**E_tot**: -20.126 eV per formula unit
**Energy above the most stable polymorph in this dataset**: 0 meV per atom
**DFT formation energy**: -0.43 eV/f.u.